The following is a DFT calculation (PBE-GGA) of a relaxed Zn2BiAu crystal.

The structure in extended XYZ format:
```
4
Lattice="3.319 0.000 0.000 0.000 3.319 0.000 0.000 0.000 7.440" Properties=species:S:1:pos:R:3 pbc="T T T"
Zn 0.000 0.000 1.446
Zn 0.000 0.000 5.994
Bi 1.660 1.660 3.720
Au 1.660 1.660 0.000
```

Computed properties:
D(E_F)   0.347 states/eV/atom
Space-group type   No. 123
ΔH_f (0 K)   36 meV per atom
Total DFT energy (no corrections)   -2.390 eV/atom